Entry from Alexandria: crystalline LaMo2Ir2 at its relaxed geometry (GGA-PBE).

Results
formation energy: 0.0192 eV per atom
M_tot: 0.0 μB per formula unit
uncorrected energy: -44.2 eV for the cell shown

a b c (Å): 5.899 5.899 5.899
angles (deg): 134.46 134.46 66.37
Fractional positions:
La 0.000 0.000 0.000
Mo 0.368 0.368 0.000
Mo 0.632 0.632 0.000
Ir 0.250 0.750 0.500
Ir 0.750 0.250 0.500



Entry from Alexandria: crystalline AgPbSe2 at its relaxed geometry (GGA-PBE).

Results
M_tot: 0.0 μB per formula unit
uncorrected energy: -13.7 eV for the cell shown

a b c (Å): 3.941 3.941 7.501
angles (deg): 90.00 90.00 115.87
Fractional positions:
Ag 0.000 0.000 0.000
Pb 0.000 0.000 0.500
Se 0.500 0.500 0.224
Se 0.500 0.500 0.776



Entry from Alexandria: crystalline TbSc2N at its relaxed geometry (GGA-PBE).

Results
M_tot: 0.0 μB per formula unit
uncorrected energy: -26.7 eV for the cell shown

a b c (Å): 2.995 2.995 8.268
angles (deg): 90.00 90.00 90.00
Fractional positions:
Tb 0.000 0.000 0.000
Sc 0.500 0.500 0.346
Sc 0.500 0.500 0.654
N 0.000 0.000 0.500



Entry from Alexandria: crystalline Er4AlCd2In at its relaxed geometry (GGA-PBE).

Results
formation energy: -0.3721 eV per atom
M_tot: 0.0 μB per formula unit
uncorrected energy: -29.5 eV for the cell shown

a b c (Å): 9.023 9.023 9.023
angles (deg): 33.50 33.50 33.50
Fractional positions:
Er 0.122 0.122 0.122
Er 0.373 0.373 0.373
Er 0.627 0.627 0.627
Er 0.878 0.878 0.878
Al 0.000 0.000 0.000
Cd 0.250 0.250 0.250
Cd 0.750 0.750 0.750
In 0.500 0.500 0.500



Entry from Alexandria: crystalline CaPm2Be at its relaxed geometry (GGA-PBE).

Results
formation energy: 0.1284 eV per atom
M_tot: 0.0 μB per formula unit
uncorrected energy: -14.7 eV for the cell shown

a b c (Å): 3.620 3.620 9.034
angles (deg): 90.00 90.00 90.00
Fractional positions:
Ca 0.000 0.000 0.000
Pm 0.500 0.500 0.322
Pm 0.500 0.500 0.678
Be 0.000 0.000 0.500



Entry from Alexandria: crystalline LiGa2Mo at its relaxed geometry (GGA-PBE).

Results
formation energy: -0.0892 eV per atom
M_tot: 0.6 μB per formula unit
uncorrected energy: -19.2 eV for the cell shown

a b c (Å): 3.086 3.086 6.199
angles (deg): 90.00 90.00 90.00
Fractional positions:
Li 0.000 0.000 0.000
Ga 0.500 0.500 0.236
Ga 0.500 0.500 0.764
Mo 0.000 0.000 0.500



Entry from Alexandria: crystalline DyMg3Cd2 at its relaxed geometry (GGA-PBE).

Results
formation energy: -0.1882 eV per atom
M_tot: 0.0 μB per formula unit
uncorrected energy: -24.7 eV for the cell shown

a b c (Å): 4.924 4.924 13.381
angles (deg): 90.00 90.00 120.00
Fractional positions:
Dy 0.000 0.000 0.250
Dy 0.000 0.000 0.750
Mg 0.000 0.000 0.000
Mg 0.000 0.000 0.500
Mg 0.333 0.667 0.106
Mg 0.333 0.667 0.394
Mg 0.667 0.333 0.606
Mg 0.667 0.333 0.894
Cd 0.333 0.667 0.632
Cd 0.333 0.667 0.868
Cd 0.667 0.333 0.132
Cd 0.667 0.333 0.368



Entry from Alexandria: crystalline CoCuTe2 at its relaxed geometry (GGA-PBE).

Results
M_tot: 0.1 μB per formula unit
uncorrected energy: -15.8 eV for the cell shown

a b c (Å): 4.715 4.715 4.715
angles (deg): 60.00 60.00 60.00
Fractional positions:
Co 0.000 0.000 0.000
Cu 0.500 0.500 0.500
Te 0.250 0.250 0.250
Te 0.750 0.750 0.750



Entry from Alexandria: crystalline Rb3GeW at its relaxed geometry (GGA-PBE).

Results
formation energy: 1.5337 eV per atom
M_tot: 7.0 μB per formula unit
uncorrected energy: -12.8 eV for the cell shown

a b c (Å): 6.774 6.774 6.774
angles (deg): 90.00 90.00 90.00
Fractional positions:
Rb 0.000 0.000 0.500
Rb 0.000 0.500 0.000
Rb 0.500 0.000 0.000
Ge 0.000 0.000 0.000
W 0.500 0.500 0.500



Entry from Alexandria: crystalline PmCoSb at its relaxed geometry (GGA-PBE).

Results
M_tot: 0.7 μB per formula unit
uncorrected energy: -103.7 eV for the cell shown

a b c (Å): 8.854 8.854 8.854
angles (deg): 128.75 75.44 128.72
Fractional positions:
Pm 0.000 0.000 0.000
Pm 0.000 0.500 0.500
Pm 0.277 0.406 0.834
Pm 0.277 0.943 0.372
Pm 0.572 0.443 0.166
Pm 0.572 0.906 0.628
Co 0.274 0.547 0.227
Co 0.321 0.047 0.773
Co 0.619 0.188 0.228
Co 0.619 0.891 0.931
Co 0.960 0.391 0.772
Co 0.960 0.688 0.069
Sb 0.289 0.854 0.935
Sb 0.608 0.886 0.223
Sb 0.634 0.553 0.582
Sb 0.663 0.386 0.777
Sb 0.919 0.354 0.065
Sb 0.971 0.053 0.418



Entry from Alexandria: crystalline CaMgCu5 at its relaxed geometry (GGA-PBE).

Results
formation energy: 0.1460 eV per atom
M_tot: 0.0 μB per formula unit
uncorrected energy: -23.1 eV for the cell shown

a b c (Å): 4.845 4.845 5.057
angles (deg): 90.00 90.00 90.00
Fractional positions:
Ca 0.000 0.000 0.000
Mg 0.500 0.500 0.500
Cu 0.000 0.500 0.256
Cu 0.000 0.500 0.744
Cu 0.500 0.000 0.256
Cu 0.500 0.000 0.744
Cu 0.500 0.500 0.000



Entry from Alexandria: crystalline PW at its relaxed geometry (GGA-PBE).

Results
formation energy: -0.0203 eV per atom
M_tot: 0.0 μB per formula unit
uncorrected energy: -55.2 eV for the cell shown

a b c (Å): 3.280 6.251 6.251
angles (deg): 125.86 90.00 90.00
Fractional positions:
P 0.000 0.000 0.000
P 0.500 0.425 0.753
P 0.500 0.753 0.425
W 0.000 0.069 0.463
W 0.000 0.463 0.069
W 0.500 0.312 0.312



Entry from Alexandria: crystalline YHoLuSc at its relaxed geometry (GGA-PBE).

Results
formation energy: 0.1154 eV per atom
M_tot: 0.0 μB per formula unit
uncorrected energy: -21.4 eV for the cell shown

a b c (Å): 5.505 5.505 5.505
angles (deg): 60.00 60.00 60.00
Fractional positions:
Y 0.000 0.000 0.000
Ho 0.500 0.500 0.500
Lu 0.250 0.250 0.250
Sc 0.750 0.750 0.750